The following is a DFT calculation (PBE) of a relaxed structure of Mg2HF3.

The structure in extended XYZ format:
```
12
Lattice="6.096 -1.606 0.000 6.096 1.606 0.000 -3.419 0.000 7.043" Properties=species:S:1:pos:R:3 pbc="T T T"
Mg -0.008 0.000 3.064
Mg 3.728 0.000 1.218
Mg 5.044 0.000 5.825
Mg 8.781 0.000 3.979
H -1.159 0.000 4.591
H 9.931 0.000 2.452
F -1.362 0.000 7.034
F 1.987 0.000 2.740
F 3.108 0.000 5.101
F 5.664 0.000 1.942
F 6.786 0.000 4.303
F 10.134 0.000 0.009
```

Computed properties:
- DOS(E_F): 0.000 states/eV/cell
- Total energy: -55.7 eV per cell
- Symmetry: C2/m, No. 12
- V: 68.9 Å³/f.u.
- Total moment: 0.00 μB per cell